VASP calculation (PBE) on a relaxed Dy5Ho3Mg crystal.

Results
Raw total energy: -65.4 eV/cell
Formation enthalpy at 0 K: 0.63 eV per atom

The structure in POSCAR format:
```
Dy5Ho3Mg
1.0
-1.121 7.462 -6.505
-5.502 -3.009 -7.741
-8.144 3.649 -2.041
Dy Ho Mg
10 6 2
Direct
0.929 0.404 0.323
0.257 0.743 0.000
0.817 0.817 0.953
0.553 0.553 0.261
0.447 0.447 0.739
0.183 0.183 0.047
0.404 0.929 0.323
0.743 0.257 0.000
0.071 0.596 0.677
0.596 0.071 0.677
0.643 0.643 0.824
0.700 0.700 0.396
0.000 0.000 0.000
0.000 0.000 0.500
0.357 0.357 0.176
0.300 0.300 0.604
0.132 0.132 0.587
0.868 0.868 0.413
```